[1]
## Re2PRu (GGA-PBE)

Data for a relaxed Re2PRu crystal.

energy = -39.35 eV for the cell shown
D(E_F) = 3.87 states/eV/cell
symmetry = P2/m, No. 10
M_tot = 0.0 μB/cell

Geometry as POSCAR:
```
Re2PRu
1.0
-3.2685 2.0230 -0.8327
-0.2656 -1.4210 -2.4097
-2.9130 -4.1667 1.3115
Re Ru P
2 1 1
Direct
0.0000 0.8685 0.2653 Re
0.0000 0.1315 0.7347 Re
0.5000 0.5000 0.0000 Ru
0.5000 0.5000 0.5000 P
```

=====

[2]
## Nd6ScSn10 (GGA-PBE)

Data for a relaxed Nd6ScSn10 crystal.

energy = -84.64 eV for the cell shown
D(E_F) = 11.82 states/eV/cell
symmetry = P-31m, No. 162
M_tot = 0.0 μB/cell

Geometry as POSCAR:
```
Nd6ScSn10
1.0
-2.5830 1.7627 5.5510
-8.1068 1.7998 -4.3438
1.6546 -8.5419 3.4823
Sc Sn Nd
1 10 6
Direct
0.5000 0.0000 0.0000 Sc
0.5000 0.3333 0.6667 Sn
0.1924 0.0000 0.7616 Sn
0.8076 0.2384 0.0000 Sn
0.1924 0.2384 0.2384 Sn
0.0000 0.3333 0.6667 Sn
0.8076 0.0000 0.2384 Sn
0.8076 0.7616 0.7616 Sn
0.5000 0.6667 0.3333 Sn
0.1924 0.7616 0.0000 Sn
0.0000 0.6667 0.3333 Sn
0.2627 0.6091 0.6091 Nd
0.2627 0.3909 0.0000 Nd
0.7373 0.3909 0.3909 Nd
0.7373 0.0000 0.6091 Nd
0.2627 0.0000 0.3909 Nd
0.7373 0.6091 0.0000 Nd
```

=====

The highest D(E_F) belongs to which entry? Nd6ScSn10

=====

Which value of M_tot does entry 2 give? 0.0 μB/cell